Below is a relaxed structure of Mn3W2, with properties calculated at the GGA-PBE level.

Cell: 10.702 10.702 10.702 Å, 14.52 14.52 14.52°
Fractional coordinates of all 5 atoms:
Mn 0.000 0.000 0.000
Mn 0.195 0.195 0.195
Mn 0.805 0.805 0.805
W 0.401 0.401 0.401
W 0.599 0.599 0.599

## Properties
As for the symmetry: R-3m (166). The formation energy is 0.39 eV per atom. The total DFT energy (no corrections) comes out at -51.48 eV/f.u.


Below is a relaxed structure of MnW3, with properties calculated at the GGA-PBE level.

Cell: 5.406 5.406 4.419 Å, 90.00 90.00 110.08°
Fractional coordinates of all 8 atoms:
Mn 0.124 0.876 0.750
Mn 0.876 0.124 0.250
W 0.121 0.368 0.750
W 0.368 0.121 0.250
W 0.373 0.627 0.250
W 0.627 0.373 0.750
W 0.632 0.879 0.750
W 0.879 0.632 0.250

## Properties
As for the symmetry: Cmcm (63). The formation energy is 0.12 eV per atom. The total DFT energy (no corrections) comes out at -47.55 eV/f.u.


Below is a relaxed structure of Mn4W3, with properties calculated at the GGA-PBE level.

Cell: 10.467 10.467 10.467 Å, 163.25 163.25 23.77°
Fractional coordinates of all 7 atoms:
Mn 0.070 0.070 0.000
Mn 0.359 0.359 0.000
Mn 0.641 0.641 0.000
Mn 0.930 0.930 0.000
W 0.208 0.208 0.000
W 0.500 0.500 0.000
W 0.792 0.792 0.000

## Properties
As for the symmetry: I4/mmm (139). The formation energy is 0.13 eV per atom. The total DFT energy (no corrections) comes out at -74.64 eV/f.u.


Below is a relaxed structure of MnW4, with properties calculated at the GGA-PBE level.

Cell: 5.182 5.182 5.182 Å, 95.31 95.31 144.57°
Fractional coordinates of all 5 atoms:
Mn 0.000 0.000 0.000
W 0.203 0.400 0.603
W 0.400 0.797 0.198
W 0.600 0.203 0.802
W 0.797 0.600 0.397

## Properties
As for the symmetry: I4/m (87). The formation energy is 0.10 eV per atom. The total DFT energy (no corrections) comes out at -60.47 eV/f.u.


Below is a relaxed structure of MnW2, with properties calculated at the GGA-PBE level.

Cell: 5.254 4.281 7.778 Å, 90.00 90.00 90.00°
Fractional coordinates of all 12 atoms:
Mn 0.171 0.250 0.069
Mn 0.329 0.750 0.569
Mn 0.671 0.250 0.431
Mn 0.829 0.750 0.931
W 0.016 0.250 0.752
W 0.177 0.250 0.417
W 0.323 0.750 0.917
W 0.484 0.750 0.252
W 0.516 0.250 0.748
W 0.677 0.250 0.083
W 0.823 0.750 0.583
W 0.984 0.750 0.248

## Properties
As for the symmetry: Pnma (62). The formation energy is 0.19 eV per atom. The total DFT energy (no corrections) comes out at -34.50 eV/f.u.


Below is a relaxed structure of MnW3, with properties calculated at the GGA-PBE level.

Cell: 2.718 2.718 8.631 Å, 90.00 90.00 108.66°
Fractional coordinates of all 4 atoms:
Mn 0.000 0.000 0.000
W 0.000 0.000 0.500
W 0.500 0.500 0.236
W 0.500 0.500 0.764

## Properties
As for the symmetry: Cmmm (65). The formation energy is 0.06 eV per atom. The total DFT energy (no corrections) comes out at -47.77 eV/f.u.


Below is a relaxed structure of MnW2, with properties calculated at the GGA-PBE level.

Cell: 5.275 5.275 8.420 Å, 90.00 90.00 120.00°
Fractional coordinates of all 12 atoms:
Mn 0.333 0.667 0.064
Mn 0.333 0.667 0.436
Mn 0.667 0.333 0.564
Mn 0.667 0.333 0.936
W 0.000 0.000 0.000
W 0.000 0.000 0.500
W 0.171 0.341 0.750
W 0.171 0.829 0.750
W 0.341 0.171 0.250
W 0.659 0.829 0.750
W 0.829 0.171 0.250
W 0.829 0.659 0.250

## Properties
As for the symmetry: P6_3/mmc (194). The formation energy is 0.60 eV per atom. The total DFT energy (no corrections) comes out at -33.28 eV/f.u.


Below is a relaxed structure of MnW2, with properties calculated at the GGA-PBE level.

Cell: 7.715 7.715 4.563 Å, 90.00 90.00 160.43°
Fractional coordinates of all 6 atoms:
Mn 0.218 0.782 0.750
Mn 0.782 0.218 0.250
W 0.128 0.872 0.250
W 0.450 0.550 0.250
W 0.550 0.450 0.750
W 0.872 0.128 0.750

## Properties
As for the symmetry: Cmcm (63). The formation energy is 0.38 eV per atom. The total DFT energy (no corrections) comes out at -33.94 eV/f.u.


Below is a relaxed structure of Mn4W3, with properties calculated at the GGA-PBE level.

Cell: 5.101 5.101 4.681 Å, 90.00 90.00 120.00°
Fractional coordinates of all 7 atoms:
Mn 0.000 0.000 0.228
Mn 0.000 0.000 0.772
Mn 0.333 0.667 0.000
Mn 0.667 0.333 0.000
W 0.000 0.500 0.500
W 0.500 0.000 0.500
W 0.500 0.500 0.500

## Properties
As for the symmetry: P6/mmm (191). The formation energy is 0.44 eV per atom. The total DFT energy (no corrections) comes out at -72.46 eV/f.u.


Below is a relaxed structure of MnW3, with properties calculated at the GGA-PBE level.

Cell: 4.393 4.393 3.143 Å, 90.00 90.00 90.00°
Fractional coordinates of all 4 atoms:
Mn 0.000 0.000 0.000
W 0.000 0.500 0.500
W 0.500 0.000 0.500
W 0.500 0.500 0.000

## Properties
As for the symmetry: P4/mmm (123). The formation energy is 0.12 eV per atom. The total DFT energy (no corrections) comes out at -47.55 eV/f.u.


Below is a relaxed structure of MnW5, with properties calculated at the GGA-PBE level.

Cell: 5.235 5.235 5.235 Å, 60.00 60.00 60.00°
Fractional coordinates of all 6 atoms:
Mn 0.000 0.000 0.000
W 0.375 0.375 0.375
W 0.375 0.375 0.876
W 0.375 0.876 0.375
W 0.750 0.750 0.750
W 0.876 0.375 0.375

## Properties
As for the symmetry: F-43m (216). The formation energy is 0.46 eV per atom. The total DFT energy (no corrections) comes out at -71.19 eV/f.u.


Below is a relaxed structure of MnW3, with properties calculated at the GGA-PBE level.

Cell: 4.940 4.940 4.940 Å, 90.00 90.00 90.00°
Fractional coordinates of all 8 atoms:
Mn 0.000 0.000 0.000
Mn 0.500 0.500 0.500
W 0.000 0.250 0.500
W 0.000 0.750 0.500
W 0.250 0.500 0.000
W 0.500 0.000 0.250
W 0.500 0.000 0.750
W 0.750 0.500 0.000

## Properties
As for the symmetry: Pm-3n (223). The formation energy is 0.11 eV per atom. The total DFT energy (no corrections) comes out at -47.60 eV/f.u.


Below is a relaxed structure of Mn6W, with properties calculated at the GGA-PBE level.

Cell: 7.602 4.552 9.584 Å, 90.00 90.00 90.00°
Fractional coordinates of all 28 atoms:
Mn 0.053 0.250 0.074
Mn 0.074 0.512 0.307
Mn 0.074 0.988 0.307
Mn 0.093 0.750 0.524
Mn 0.135 0.250 0.849
Mn 0.188 0.750 0.755
Mn 0.312 0.250 0.255
Mn 0.365 0.750 0.349
Mn 0.407 0.250 0.024
Mn 0.426 0.012 0.807
Mn 0.426 0.488 0.807
Mn 0.447 0.750 0.574
Mn 0.553 0.250 0.426
Mn 0.574 0.512 0.193
Mn 0.574 0.988 0.193
Mn 0.593 0.750 0.976
Mn 0.635 0.250 0.651
Mn 0.688 0.750 0.745
Mn 0.812 0.250 0.245
Mn 0.865 0.750 0.151
Mn 0.907 0.250 0.476
Mn 0.926 0.012 0.693
Mn 0.926 0.488 0.693
Mn 0.947 0.750 0.926
W 0.243 0.750 0.062
W 0.257 0.250 0.562
W 0.743 0.750 0.438
W 0.757 0.250 0.938

## Properties
As for the symmetry: Pnma (62). The formation energy is 0.09 eV per atom. The total DFT energy (no corrections) comes out at -67.35 eV/f.u.


Below is a relaxed structure of MnW2, with properties calculated at the GGA-PBE level.

Cell: 2.667 7.923 4.220 Å, 90.00 90.00 90.00°
Fractional coordinates of all 6 atoms:
Mn 0.000 0.000 0.000
Mn 0.500 0.500 0.500
W 0.162 0.340 0.000
W 0.338 0.840 0.500
W 0.662 0.160 0.500
W 0.838 0.660 0.000

## Properties
As for the symmetry: Pnnm (58). The formation energy is 0.27 eV per atom. The total DFT energy (no corrections) comes out at -34.28 eV/f.u.


Below is a relaxed structure of Mn5W, with properties calculated at the GGA-PBE level.

Cell: 4.674 4.674 4.674 Å, 60.00 60.00 60.00°
Fractional coordinates of all 6 atoms:
Mn 0.000 0.000 0.000
Mn 0.120 0.627 0.627
Mn 0.627 0.120 0.627
Mn 0.627 0.627 0.120
Mn 0.627 0.627 0.627
W 0.250 0.250 0.250

## Properties
As for the symmetry: F-43m (216). The formation energy is 0.02 eV per atom. The total DFT energy (no corrections) comes out at -58.68 eV/f.u.


Below is a relaxed structure of MnW2, with properties calculated at the GGA-PBE level.

Cell: 7.073 7.073 3.040 Å, 90.00 90.00 120.00°
Fractional coordinates of all 9 atoms:
Mn 0.000 0.000 0.000
Mn 0.333 0.667 0.500
Mn 0.667 0.333 0.500
W 0.000 0.265 0.500
W 0.000 0.595 0.000
W 0.265 0.000 0.500
W 0.405 0.405 0.000
W 0.595 0.000 0.000
W 0.735 0.735 0.500

## Properties
As for the symmetry: P-62m (189). The formation energy is 0.30 eV per atom. The total DFT energy (no corrections) comes out at -34.17 eV/f.u.


Below is a relaxed structure of MnW3, with properties calculated at the GGA-PBE level.

Cell: 2.704 4.399 5.176 Å, 90.00 99.63 90.00°
Fractional coordinates of all 4 atoms:
Mn 0.000 0.000 0.000
W 0.250 0.500 0.754
W 0.500 0.000 0.500
W 0.750 0.500 0.246

## Properties
As for the symmetry: P2/m (10). The formation energy is 0.11 eV per atom. The total DFT energy (no corrections) comes out at -47.59 eV/f.u.


Below is a relaxed structure of MnW3, with properties calculated at the GGA-PBE level.

Cell: 2.694 3.873 5.908 Å, 90.00 90.00 90.00°
Fractional coordinates of all 4 atoms:
Mn 0.000 0.000 0.000
W 0.000 0.000 0.500
W 0.500 0.500 0.237
W 0.500 0.500 0.763

## Properties
As for the symmetry: Pmmm (47). The formation energy is 0.38 eV per atom. The total DFT energy (no corrections) comes out at -46.52 eV/f.u.


Below is a relaxed structure of MnW3, with properties calculated at the GGA-PBE level.

Cell: 4.620 5.203 5.121 Å, 90.00 90.00 90.00°
Fractional coordinates of all 8 atoms:
Mn 0.250 0.250 0.159
Mn 0.750 0.750 0.841
W 0.250 0.005 0.649
W 0.250 0.495 0.649
W 0.250 0.750 0.136
W 0.750 0.250 0.864
W 0.750 0.505 0.351
W 0.750 0.995 0.351

## Properties
As for the symmetry: Pmmn (59). The formation energy is 0.39 eV per atom. The total DFT energy (no corrections) comes out at -46.47 eV/f.u.


Below is a relaxed structure of MnW4, with properties calculated at the GGA-PBE level.

Cell: 4.430 4.430 4.430 Å, 90.00 90.00 90.00°
Fractional coordinates of all 5 atoms:
Mn 0.000 0.000 0.000
W 0.000 0.000 0.500
W 0.000 0.500 0.000
W 0.500 0.000 0.000
W 0.500 0.500 0.500

## Properties
As for the symmetry: Pm-3m (221). The formation energy is 1.45 eV per atom. The total DFT energy (no corrections) comes out at -53.74 eV/f.u.


Below is a relaxed structure of Mn5W, with properties calculated at the GGA-PBE level.

Cell: 4.162 6.814 6.814 Å, 21.79 90.00 90.00°
Fractional coordinates of all 6 atoms:
Mn 0.000 0.000 0.000
Mn 0.000 0.314 0.314
Mn 0.000 0.660 0.660
Mn 0.500 0.204 0.204
Mn 0.500 0.555 0.555
W 0.500 0.881 0.881

## Properties
As for the symmetry: Amm2 (38). The formation energy is 0.19 eV per atom. The total DFT energy (no corrections) comes out at -57.66 eV/f.u.


Below is a relaxed structure of MnW2, with properties calculated at the GGA-PBE level.

Cell: 4.100 4.100 2.910 Å, 90.00 90.00 90.00°
Fractional coordinates of all 3 atoms:
Mn 0.000 0.000 0.000
W 0.000 0.500 0.500
W 0.500 0.000 0.500

## Properties
As for the symmetry: P4/mmm (123). The formation energy is 0.81 eV per atom. The total DFT energy (no corrections) comes out at -32.63 eV/f.u.


Below is a relaxed structure of MnW5, with properties calculated at the GGA-PBE level.

Cell: 5.316 5.316 4.485 Å, 90.00 90.00 120.00°
Fractional coordinates of all 6 atoms:
Mn 0.000 0.000 0.000
W 0.000 0.500 0.500
W 0.333 0.667 0.000
W 0.500 0.000 0.500
W 0.500 0.500 0.500
W 0.667 0.333 0.000

## Properties
As for the symmetry: P6/mmm (191). The formation energy is 0.74 eV per atom. The total DFT energy (no corrections) comes out at -69.49 eV/f.u.


Below is a relaxed structure of MnW3, with properties calculated at the GGA-PBE level.

Cell: 3.952 3.952 3.952 Å, 90.00 90.00 90.00°
Fractional coordinates of all 4 atoms:
Mn 0.000 0.000 0.000
W 0.000 0.500 0.500
W 0.500 0.000 0.500
W 0.500 0.500 0.000

## Properties
As for the symmetry: Pm-3m (221). The formation energy is 0.37 eV per atom. The total DFT energy (no corrections) comes out at -46.55 eV/f.u.


Below is a relaxed structure of MnW2, with properties calculated at the GGA-PBE level.

Cell: 4.907 4.907 4.907 Å, 103.64 103.64 121.88°
Fractional coordinates of all 6 atoms:
Mn 0.250 0.250 0.000
Mn 0.750 0.750 0.000
W 0.159 0.659 0.817
W 0.341 0.159 0.500
W 0.659 0.841 0.500
W 0.841 0.341 0.183

## Properties
As for the symmetry: I4/mcm (140). The formation energy is 0.16 eV per atom. The total DFT energy (no corrections) comes out at -34.61 eV/f.u.


Below is a relaxed structure of Mn5W, with properties calculated at the GGA-PBE level.

Cell: 5.753 5.753 3.607 Å, 90.00 90.00 143.37°
Fractional coordinates of all 6 atoms:
Mn 0.000 0.000 0.000
Mn 0.178 0.822 0.500
Mn 0.323 0.677 0.000
Mn 0.677 0.323 0.000
Mn 0.822 0.178 0.500
W 0.500 0.500 0.500

## Properties
As for the symmetry: Cmmm (65). The formation energy is 0.10 eV per atom. The total DFT energy (no corrections) comes out at -58.19 eV/f.u.